Record 1
# Rb2ZnPb2

An optimized crystal structure of Rb2ZnPb2 (PBE-GGA, Alexandria via LeMat-Bulk).

For the calculated formation energy, the calculation gives -0.70 kcal/mol of atoms. The energy above the lowest structure with this stoichiometry comes out at 0 meV/atom.

The structure belongs to space group C2/m (No. 12); the cell edges are 12.5209, 5.5767 and 12.2106 Å and the angles 90.00°, 114.80° and 90.00°. Symmetry generates all atoms from Rb at (0.0940, 0.0000, 0.3823), Rb at (0.1723, 0.5000, 0.1844), Zn at (0.1442, 0.5000, 0.8646), Pb at (0.1043, 0.5000, 0.6164) and Pb at (0.1068, 0.0000, 0.9563).

=====

Record 2
# V2GaHRu

An optimized crystal structure of V2GaHRu (PBE-GGA, Alexandria via LeMat-Bulk).

The energy above the lowest structure with this stoichiometry comes out at 0 meV/atom.

The structure belongs to space group P4/mmm (No. 123); the cell edges are 3.8250, 3.8250 and 3.9081 Å and the angles 90.00°, 90.00° and 90.00°. Symmetry generates all atoms from V at (0.0000, 0.5000, 0.0000), Ga at (0.0000, 0.0000, 0.5000), H at (0.5000, 0.5000, 0.0000) and Ru at (0.5000, 0.5000, 0.5000).

=====

| no. | total magnetic moment (μB/f.u.) |
| --- | --- |
| 1 | 0.000 |
| 2 | 0.000 |